DFT (PBE) results for an optimized crystal structure of LaPr4P5.

Properties
total energy = -66.38 eV/f.u.
Fermi-level density of states = 1.08 states/eV per cell

```
data_LaPr4P5
_space_group_name_H-M_alt 'P 1'
_space_group_IT_number 1
_cell_length_a 7.303
_cell_length_b 7.303
_cell_length_c 10.335
_cell_angle_alpha 118.13
_cell_angle_beta 118.13
_cell_angle_gamma 33.60
loop_
_space_group_symop_operation_xyz
'x,y,z'
loop_
_atom_site_label
_atom_site_type_symbol
_atom_site_fract_x
_atom_site_fract_y
_atom_site_fract_z
_atom_site_occupancy
La1 La 0.000 0.000 0.000 1
Pr1 Pr 0.200 0.200 0.799 1
Pr2 Pr 0.400 0.400 0.599 1
Pr3 Pr 0.600 0.600 0.401 1
Pr4 Pr 0.800 0.800 0.201 1
P1 P 0.000 0.000 0.500 1
P2 P 0.200 0.200 0.301 1
P3 P 0.399 0.399 0.101 1
P4 P 0.601 0.601 0.899 1
P5 P 0.800 0.800 0.699 1
```